## CsCrCu2Cl8 (PBE)

Data for a relaxed CsCrCu2Cl8 crystal.

Cell lengths 6.2124, 6.2124, 29.7387 Å; angles 90.00, 90.00, 120.00 degrees
Closest atoms and distances in Å follow each position.
Space group R-3 (No. 148, hexagonal axes)
One atom of each set of equivalent atoms:
Cs (0.0000, 0.0000, 0.0000) x3  6 Cl 3.67
Cr (0.0000, 0.0000, 0.5000) x3  6 Cl 2.34
Cu (0.0000, 0.0000, 0.2326) x6  4 Cl 2.21-2.30
Cl (0.0000, 0.0000, 0.3068) x6  1 Cu 2.21
Cl (0.0121, 0.3118, 0.5457) x18  1 Cu 2.30, 1 Cr 2.34

Formation energy from raw total energies = -0.91 eV per atom
Crystal system = trigonal
E_tot = -44.4 eV per formula unit

***

## Li2CrSi (PBE)

Data for a relaxed Li2CrSi crystal.

Cell lengths 2.5998, 4.1774, 9.4115 Å; angles 90.00, 90.00, 90.00 degrees
Closest atoms and distances in Å follow each position.
Space group Immm (No. 71)
One atom of each set of equivalent atoms:
Li (0.0000, 0.0000, 0.2362) x4  6 Li 2.47-2.60, 2 Si 2.57
Cr (0.0000, 0.5000, 0.0000) x2  4 Si 2.46, 2 Cr 2.60
Si (0.0000, 0.5000, 0.5000) x2  4 Cr 2.46, 4 Li 2.57, 2 Si 2.60

Formation energy from raw total energies = 0.03 eV per atom
Crystal system = orthorhombic
E_tot = -18.8 eV per formula unit